DFT (PBEsol) results for a relaxed structure of CsRuS2.

Values from the calculation:
Energy: -4.2745 eV/atom
Raw formation energy: 0.696 eV per atom
Magnetization: 0.001 Bohr magnetons per cell

abc: 4.789 4.789 4.789
angles: 60.00 60.00 60.00
Positions (direct):
Cs: 0.000 0.000 0.000
Ru: 0.500 0.500 0.500
S: 0.250 0.250 0.250
S: 0.750 0.750 0.750

---

DFT (PBEsol) results for a relaxed structure of Be2InReS.

Values from the calculation:
Energy: -5.1988 eV/atom
Raw formation energy: 0.541 eV per atom
Magnetization: 0.000 Bohr magnetons per cell

abc: 4.549 4.549 4.340
angles: 90.00 90.00 90.00
Positions (direct):
Be: 0.000 0.500 0.000
Be: 0.500 0.000 0.000
In: 0.000 0.000 0.500
Re: 0.500 0.500 0.000
S: 0.500 0.500 0.500

---

raw formation energy of number 1 (CsRuS2)?
0.696 eV per atom

---

What is the magnetization in the first record?
0.001 Bohr magnetons per cell

---

Which value of magnetization does entry 2 give?
0.000 Bohr magnetons per cell